1.
A plane-wave DFT calculation with PBE was carried out for a relaxed structure of Ho7ErCo2.

a b c (Å): 5.066 8.062 8.062
angles (deg): 114.97 90.00 90.00
Fractional coordinates of all 10 atoms:
Co 0.500 0.705 0.295
Co 0.500 0.295 0.705
Er 0.000 0.000 0.000
Ho 0.000 0.297 0.703
Ho 0.500 0.672 0.942
Ho 0.500 0.058 0.328
Ho 0.500 0.942 0.672
Ho 0.000 0.703 0.297
Ho 0.500 0.500 0.500
Ho 0.500 0.328 0.058

Calculated values
formation energy: 0.0893 eV/atom
D(E_F): 12.4 states/eV per cell
crystal system: orthorhombic

2.
A plane-wave DFT calculation with PBE was carried out for a relaxed structure of CaAgTe2.

a b c (Å): 5.144 5.145 4.032
angles (deg): 90.00 90.00 90.00
Fractional coordinates of all 4 atoms:
Ca 0.000 0.500 0.500
Te 0.000 0.000 0.000
Te 0.500 0.500 0.000
Ag 0.500 0.000 0.500

Calculated values
formation energy (no corrections): -594 meV/atom
D(E_F): 2.1 states/eV per cell
crystal system: tetragonal

3.
A plane-wave DFT calculation with PBE was carried out for a relaxed structure of Th4Ga12Pt.

a b c (Å): 7.669 7.669 7.669
angles (deg): 109.47 109.47 109.47
Fractional coordinates of all 17 atoms:
Ga 0.699 0.000 0.699
Th 0.500 0.500 0.500
Ga 0.750 0.500 0.250
Pt 0.000 0.000 0.000
Ga 0.250 0.750 0.500
Ga 0.750 0.250 0.500
Ga 0.000 0.699 0.699
Ga 0.301 0.000 0.301
Ga 0.000 0.301 0.301
Ga 0.699 0.699 0.000
Ga 0.500 0.250 0.750
Th 0.500 0.000 0.000
Ga 0.301 0.301 0.000
Th 0.000 0.500 0.000
Ga 0.250 0.500 0.750
Ga 0.500 0.750 0.250
Th 0.000 0.000 0.500

Calculated values
formation energy: -0.5829 eV/atom
D(E_F): 7.9 states/eV per cell
crystal system: cubic

- Which formula does entry 3 have?
  Th4Ga12Pt

Please write out number 1 again, unchanged.
A plane-wave DFT calculation with PBE was carried out for a relaxed structure of Ho7ErCo2.

a b c (Å): 5.066 8.062 8.062
angles (deg): 114.97 90.00 90.00
Fractional coordinates of all 10 atoms:
Co 0.500 0.705 0.295
Co 0.500 0.295 0.705
Er 0.000 0.000 0.000
Ho 0.000 0.297 0.703
Ho 0.500 0.672 0.942
Ho 0.500 0.058 0.328
Ho 0.500 0.942 0.672
Ho 0.000 0.703 0.297
Ho 0.500 0.500 0.500
Ho 0.500 0.328 0.058

Calculated values
formation energy: 0.0893 eV/atom
D(E_F): 12.4 states/eV per cell
crystal system: orthorhombic

- The highest D(E_F) belongs to which entry?
  Ho7ErCo2